1:
## La8In (PBE)

Data for a geometry-optimized La8In structure.

Cell: 5.1063 8.2402 8.2402 Å, 84.49 71.95 71.95°
Sites, in units of the cell vectors:
La  0.3360  0.3281  0.0000
La  0.6640  0.6719  0.0000
La  0.3216  0.6784  0.6784
La  0.6784  0.3216  0.3216
La  0.6640  0.0000  0.6719
La  0.0000  0.6784  0.3216
La  0.3360  0.0000  0.3281
La  0.0000  0.3216  0.6784
In  0.0000  0.0000  0.0000

## Properties
V	313	Å³/cell
mass density	6.5	g/cm3

2:
## La8In (PBE)

Data for a geometry-optimized La8In structure.

Cell: 9.9590 6.3073 6.3074 Å, 119.93 102.13 102.13°
Sites, in units of the cell vectors:
La  0.6779  0.4745  0.4744
La  0.3258  0.9046  0.2155
La  0.6742  0.7843  0.0953
La  0.9999  0.3341  0.6658
La  0.3258  0.2157  0.9047
La  0.0001  0.6659  0.3342
La  0.3221  0.5255  0.5256
La  0.6742  0.0954  0.7845
In  0.0000  0.0000  0.0000

## Properties
V	312	Å³/cell
mass density	6.5	g/cm3

So which one is most stable? That would be 2, about 11 meV/atom below the next structure.

1:
## La5In (PBE)

Data for a geometry-optimized La5In structure.

Cell: 5.9896 5.6776 7.0509 Å, 87.38 90.00 121.83°
Sites, in units of the cell vectors:
La  0.6945  0.3890  0.3890
La  0.0458  0.0915  0.5263
La  0.3588  0.7177  0.7443
La  0.3432  0.6864  0.2514
La  0.0300  0.0600  0.0334
In  0.6944  0.3888  0.8890

## Properties
V	203	Å³/cell
mass density	6.6	g/cm3

2:
## La5In (PBE)

Data for a geometry-optimized La5In structure.

Cell: 6.7844 6.7844 8.7798 Å, 74.70 74.70 32.37°
Sites, in units of the cell vectors:
La  0.0527  0.0527  0.3947
La  0.6718  0.6718  0.6697
La  0.7025  0.7025  0.0528
La  0.3425  0.3425  0.2975
La  0.3987  0.3987  0.7537
In  0.9984  0.9984  0.9984

## Properties
V	208	Å³/cell
mass density	6.5	g/cm3

So which one is most stable? That would be 2, about 37 meV/atom below the next structure.